Entry from Alexandria via LeMat-Bulk: crystalline BaSc4Te6 at its relaxed geometry (PBE).

Lattice parameters (Å, degrees): 4.2884 7.2569 22.0303 90.00 90.00 107.19
Fractional positions:
Ba  0.6583  0.3167  0.2500
Ba  0.3417  0.6833  0.7500
Sc  0.8584  0.7169  0.5357
Sc  0.4062  0.8123  0.1239
Sc  0.1416  0.2831  0.4643
Sc  0.5938  0.1877  0.8761
Sc  0.8584  0.7169  0.9643
Sc  0.1416  0.2831  0.0357
Sc  0.5938  0.1877  0.6239
Sc  0.4062  0.8123  0.3761
Te  0.5000  0.0000  0.0000
Te  0.5000  0.0000  0.5000
Te  0.0418  0.0836  0.3484
Te  0.9582  0.9164  0.6516
Te  0.9582  0.9164  0.8484
Te  0.0418  0.0836  0.1516
Te  0.7676  0.5352  0.4138
Te  0.2324  0.4648  0.5862
Te  0.2324  0.4648  0.9138
Te  0.7676  0.5352  0.0862
Te  0.3507  0.7015  0.2500
Te  0.6493  0.2985  0.7500

Output
raw formation energy	-1.28	eV/atom
crystal system	orthorhombic